Entry 1:
# Tc12As3N5

Tc12As3N5 after structural relaxation (GGA-PBE, Alexandria via LeMat-Bulk).

a b c (Å): 11.2595 11.2595 11.2595
angles (deg): 109.47 109.47 109.47
Sites, in units of the cell vectors:
Tc (0.0219, 0.2014, 0.1192)
Tc (0.0219, 0.3205, 0.9027)
Tc (0.0821, 0.7014, 0.6795)
Tc (0.0821, 0.8808, 0.4027)
Tc (0.0973, 0.6192, 0.4179)
Tc (0.0973, 0.9781, 0.6795)
Tc (0.1192, 0.0219, 0.2014)
Tc (0.1192, 0.5973, 0.9179)
Tc (0.1795, 0.2014, 0.5821)
Tc (0.1795, 0.4781, 0.5973)
Tc (0.2014, 0.1192, 0.0219)
Tc (0.2014, 0.5821, 0.1795)
Tc (0.2986, 0.3205, 0.9179)
Tc (0.2986, 0.4781, 0.3808)
Tc (0.3205, 0.9027, 0.0219)
Tc (0.3205, 0.9179, 0.2986)
Tc (0.3808, 0.2986, 0.4781)
Tc (0.3808, 0.5821, 0.9027)
Tc (0.4027, 0.0821, 0.8808)
Tc (0.4027, 0.8205, 0.5219)
Tc (0.4179, 0.0973, 0.6192)
Tc (0.4179, 0.8205, 0.7986)
Tc (0.4781, 0.3808, 0.2986)
Tc (0.4781, 0.5973, 0.1795)
Tc (0.5219, 0.4027, 0.8205)
Tc (0.5219, 0.6192, 0.7014)
Tc (0.5821, 0.1795, 0.2014)
Tc (0.5821, 0.9027, 0.3808)
Tc (0.5973, 0.1795, 0.4781)
Tc (0.5973, 0.9179, 0.1192)
Tc (0.6192, 0.4179, 0.0973)
Tc (0.6192, 0.7014, 0.5219)
Tc (0.6795, 0.0821, 0.7014)
Tc (0.6795, 0.0973, 0.9781)
Tc (0.7014, 0.5219, 0.6192)
Tc (0.7014, 0.6795, 0.0821)
Tc (0.7986, 0.4179, 0.8205)
Tc (0.7986, 0.8808, 0.9781)
Tc (0.8205, 0.5219, 0.4027)
Tc (0.8205, 0.7986, 0.4179)
Tc (0.8808, 0.4027, 0.0821)
Tc (0.8808, 0.9781, 0.7986)
Tc (0.9027, 0.0219, 0.3205)
Tc (0.9027, 0.3808, 0.5821)
Tc (0.9179, 0.1192, 0.5973)
Tc (0.9179, 0.2986, 0.3205)
Tc (0.9781, 0.6795, 0.0973)
Tc (0.9781, 0.7986, 0.8808)
As (0.1250, 0.2500, 0.3750)
As (0.1250, 0.3750, 0.7500)
As (0.2500, 0.3750, 0.1250)
As (0.2500, 0.8750, 0.6250)
As (0.3750, 0.1250, 0.2500)
As (0.3750, 0.7500, 0.1250)
As (0.6250, 0.2500, 0.8750)
As (0.6250, 0.8750, 0.7500)
As (0.7500, 0.1250, 0.3750)
As (0.7500, 0.6250, 0.8750)
As (0.8750, 0.6250, 0.2500)
As (0.8750, 0.7500, 0.6250)
N (0.0000, 0.0000, 0.0000)
N (0.0000, 0.0000, 0.5000)
N (0.0000, 0.5000, 0.0000)
N (0.0000, 0.5000, 0.5000)
N (0.1250, 0.7500, 0.8750)
N (0.1250, 0.8750, 0.2500)
N (0.2500, 0.1250, 0.8750)
N (0.2500, 0.6250, 0.3750)
N (0.3750, 0.2500, 0.6250)
N (0.3750, 0.6250, 0.7500)
N (0.5000, 0.0000, 0.0000)
N (0.5000, 0.0000, 0.5000)
N (0.5000, 0.5000, 0.0000)
N (0.5000, 0.5000, 0.5000)
N (0.6250, 0.3750, 0.2500)
N (0.6250, 0.7500, 0.3750)
N (0.7500, 0.3750, 0.6250)
N (0.7500, 0.8750, 0.1250)
N (0.8750, 0.1250, 0.7500)
N (0.8750, 0.2500, 0.1250)

## Properties
* space group: Ia-3d, No. 230
* formation energy from raw total energies: 0.12 eV per atom
* calculated density: 8.9 g cm⁻³

***

Entry 2:
# PmSmCu2S4

PmSmCu2S4 after structural relaxation (GGA-PBE, Alexandria via LeMat-Bulk).

a b c (Å): 6.0135 6.0135 6.0135
angles (deg): 113.35 113.07 102.23
Sites, in units of the cell vectors:
Pm (0.0000, 0.0000, 0.0000)
Sm (0.5000, 0.5000, 0.0000)
Cu (0.3267, 0.8267, 0.5000)
Cu (0.6733, 0.1733, 0.5000)
S (0.0610, 0.5566, 0.0265)
S (0.4699, 0.4434, 0.5043)
S (0.5301, 0.0345, 0.9735)
S (0.9390, 0.9655, 0.4957)

## Properties
* space group: I222, No. 23
* formation energy from raw total energies: -1.21 eV per atom
* calculated density: 5.5 g cm⁻³

***

Question: The highest calculated density belongs to which entry?
Answer: Tc12As3N5